# YCr4 PBE optimized geometry
data_YCr4
_chemical_formula_sum 'Y2 Cr8'
_space_group_name_H-M_alt 'I 4/m m m'
_space_group_IT_number 139
_space_group_name_Hall '-I 4 2'
_cell_length_a 5.705
_cell_length_b 5.705
_cell_length_c 4.849
_cell_angle_alpha 90.00
_cell_angle_beta 90.00
_cell_angle_gamma 90.00
loop_
_atom_site_label
_atom_site_fract_x
_atom_site_fract_y
_atom_site_fract_z
_atom_site_occupancy
Y1 0.000 0.000 0.000 1
Cr1 0.000 0.329 0.500 1
# Fermi-level density of states   6.8 states/eV/f.u.
# Magnetic moment   0.00 μB/f.u.
# E above lowest polymorph   178 meV/atom

---

# PmNd3Sc2 PBE optimized geometry
data_PmNd3Sc2
_chemical_formula_sum 'Pm4 Nd12 Sc8'
_space_group_name_H-M_alt 'C m c m'
_space_group_IT_number 63
_space_group_name_Hall '-C 2c 2'
_cell_length_a 14.542
_cell_length_b 9.903
_cell_length_c 5.519
_cell_angle_alpha 90.00
_cell_angle_beta 90.00
_cell_angle_gamma 90.00
loop_
_atom_site_label
_atom_site_fract_x
_atom_site_fract_y
_atom_site_fract_z
_atom_site_occupancy
Pm1 0.000 0.230 0.250 1
Nd1 0.000 0.403 0.750 1
Nd2 0.240 0.368 0.750 1
Sc1 0.104 0.090 0.750 1
# Fermi-level density of states   10.4 states/eV/f.u.
# Magnetic moment   0.00 μB/f.u.
# Calculated total energy   -0.1847 hartree per atom

---

# Zr4ZnCuTc2 PBE optimized geometry
data_Zr4ZnCuTc2
_chemical_formula_sum 'Zr12 Zn3 Cu3 Tc6'
_space_group_name_H-M_alt 'R -3 m'
_space_group_IT_number 166
_space_group_name_Hall '-R 3 2"'
_cell_length_a 4.6867
_cell_length_b 4.6867
_cell_length_c 22.9061
_cell_angle_alpha 90.00
_cell_angle_beta 90.00
_cell_angle_gamma 120.00
loop_
_atom_site_label
_atom_site_fract_x
_atom_site_fract_y
_atom_site_fract_z
_atom_site_occupancy
Zr1 0.0000 0.0000 0.1234 1
Zr2 0.0000 0.0000 0.3733 1
Zn1 0.0000 0.0000 0.5000 1
Cu1 0.0000 0.0000 0.0000 1
Tc1 0.0000 0.0000 0.2489 1
# Fermi-level density of states   7.1 states/eV/f.u.
# Magnetic moment   0.00 μB/f.u.
# Calculated total energy   -0.2872 hartree per atom